Entry from Alexandria via LeMat-Bulk: crystalline TiCoPt at its relaxed geometry (PBE-GGA).

Values from the calculation:
total moment	0.0	Bohr magnetons per cell
theoretical density	12.1	Mg/m³
density of states at the Fermi level	0.96	states/eV per atom
energy of formation from the pure elements	-0.647	eV/atom

a = 3.7250 Å, b = 11.4636 Å, c = 3.8718 Å
α = 90.00°, β = 90.00°, γ = 90.00°
Last column: nearest neighbours and their distance in Å.
Space group Cmcm (No. 63)
Unique sites:
Ti  0.0000  0.1057  0.2500  4 Co 2.47-2.57, 4 Pt 2.69
Co  0.0000  0.2529  0.7500  4 Ti 2.47-2.57, 4 Pt 2.66, 4 Co 2.69
Pt  0.0000  0.4124  0.2500  4 Co 2.66, 6 Ti 2.69-2.89, 2 Pt 2.79